Material: SmHg3
Method: DFT, PBEsol
State: optimized geometry

Output
Energy of formation from the pure elements (eV/atom): -0.488
Volume (Å³/f.u.): 93
E (eV per atom): -2.186

Cell lengths 6.6050, 6.6050, 4.9034 Å; angles 90.00, 90.00, 120.00 degrees
With the nearest neighbours (Å) after each atom.
Space group P6_3/mmc (No. 194)
Asymmetric unit:
Sm: 0.3333 0.6667 0.2500  12 Hg 3.13-3.30
Hg: 0.1635 0.3270 0.7500  8 Hg 3.08-3.37, 4 Sm 3.13-3.30